Density functional theory data (PBE) for crystalline Ni2IrPd at its relaxed geometry.

Cell: 5.9658 5.9658 5.9658 Å, 90.00 90.00 90.00°
With the nearest neighbours (Å) after each atom.
Space group F-43m (No. 216)
Unique sites:
Ni (0.0000, 0.0000, 0.0000)  4 Ni 2.58, 4 Ir 2.58
Ni (0.2500, 0.2500, 0.2500)  4 Ni 2.58, 4 Pd 2.58
Ir (0.2500, 0.2500, 0.7500)  4 Ni 2.58, 4 Pd 2.58
Pd (0.0000, 0.0000, 0.5000)  4 Ni 2.58, 4 Ir 2.58

Calculated values
* E_form: 0.28 eV per atom
* VASP energy: -24.06 eV/f.u.
* size of the total moment: 1.991 μB/f.u.
* calculated volume: 13.27 A^3/atom
* mass density: 13.0 Mg/m³


Density functional theory data (PBE) for crystalline NiSbIrPd at its relaxed geometry.

Cell: 6.2821 6.2821 6.2821 Å, 90.00 90.00 90.00°
With the nearest neighbours (Å) after each atom.
Space group F-43m (No. 216)
Unique sites:
Ni (0.0000, 0.0000, 0.0000)  4 Ir 2.72, 4 Sb 2.72
Sb (0.2500, 0.2500, 0.7500)  4 Ni 2.72, 4 Pd 2.72
Ir (0.2500, 0.2500, 0.2500)  4 Ni 2.72, 4 Pd 2.72
Pd (0.0000, 0.0000, 0.5000)  4 Sb 2.72, 4 Ir 2.72

Calculated values
* VASP energy: -23.28 eV/f.u.
* size of the total moment: 0.001 μB/f.u.
* calculated volume: 15.49 A^3/atom
* mass density: 12.8 Mg/m³


Density functional theory data (PBE) for crystalline TlNiIrPd at its relaxed geometry.

Cell: 6.3317 6.3317 6.3317 Å, 90.00 90.00 90.00°
With the nearest neighbours (Å) after each atom.
Space group F-43m (No. 216)
Unique sites:
Tl (0.0000, 0.0000, 0.0000)  4 Ni 2.74, 4 Pd 2.74
Ni (0.2500, 0.2500, 0.2500)  4 Tl 2.74, 4 Ir 2.74
Ir (0.0000, 0.0000, 0.5000)  4 Ni 2.74, 4 Pd 2.74
Pd (0.2500, 0.2500, 0.7500)  4 Ir 2.74, 4 Tl 2.74

Calculated values
* VASP energy: -20.67 eV/f.u.
* size of the total moment: 0.001 μB/f.u.
* calculated volume: 15.87 A^3/atom
* mass density: 14.7 Mg/m³


Density functional theory data (PBE) for crystalline ZnNiIrPd at its relaxed geometry.

Cell: 6.0590 6.0590 6.0590 Å, 90.00 90.00 90.00°
With the nearest neighbours (Å) after each atom.
Space group F-43m (No. 216)
Unique sites:
Zn (0.0000, 0.0000, 0.0000)  4 Ni 2.62, 4 Pd 2.62
Ni (0.2500, 0.2500, 0.2500)  4 Ir 2.62, 4 Zn 2.62
Ir (0.0000, 0.0000, 0.5000)  4 Ni 2.62, 4 Pd 2.62
Pd (0.2500, 0.2500, 0.7500)  4 Ir 2.62, 4 Zn 2.62

Calculated values
* E_form: 0.07 eV per atom
* VASP energy: -20.57 eV/f.u.
* size of the total moment: 0.834 μB/f.u.
* calculated volume: 13.90 A^3/atom
* mass density: 12.6 Mg/m³


Density functional theory data (PBE) for crystalline Pm2NiIr at its relaxed geometry.

Cell: 5.7857 4.1454 7.9664 Å, 90.00 110.20 90.00°
With the nearest neighbours (Å) after each atom.
Space group P2_1/m (No. 11)
Unique sites:
Pm (0.2157, 0.2500, 0.4315)  4 Ir 2.96-3.10, 3 Ni 2.99-3.07
Pm (0.2183, 0.2500, 0.9270)  3 Ir 2.94-3.07, 4 Ni 2.97-3.10
Ni (0.3524, 0.7500, 0.2112)  2 Ir 2.62
Ir (0.3524, 0.7500, 0.7150)  2 Ni 2.62

Calculated values
* E_form: -0.56 eV per atom
* VASP energy: -26.17 eV/f.u.
* size of the total moment: 0.004 μB/f.u.
* calculated volume: 22.41 A^3/atom
* mass density: 10.0 Mg/m³


Density functional theory data (PBE) for crystalline Pr2NiIr at its relaxed geometry.

Cell: 5.8950 4.1979 8.0978 Å, 90.00 110.16 90.00°
With the nearest neighbours (Å) after each atom.
Space group P2_1/m (No. 11)
Unique sites:
Pr (0.2168, 0.2500, 0.4316)  4 Ir 3.01-3.15, 3 Ni 3.04-3.11
Pr (0.2196, 0.2500, 0.9275)  3 Ir 2.99-3.11, 4 Ni 3.01-3.18
Ni (0.3553, 0.7500, 0.2121)  2 Ir 2.65
Ir (0.3530, 0.7500, 0.7151)  2 Ni 2.65

Calculated values
* E_form: -0.50 eV per atom
* VASP energy: -25.97 eV/f.u.
* size of the total moment: 0.005 μB/f.u.
* calculated volume: 23.51 A^3/atom
* mass density: 9.4 Mg/m³


Density functional theory data (PBE) for crystalline PrNi3Ir2 at its relaxed geometry.

Cell: 5.1289 5.1289 4.1449 Å, 90.00 90.00 120.00°
With the nearest neighbours (Å) after each atom.
Space group P6/mmm (No. 191)
Unique sites:
Pr (0.0000, 0.0000, 0.0000)  6 Ir 2.96, 12 Ni 3.30
Ni (0.0000, 0.5000, 0.5000)  4 Ir 2.55, 4 Ni 2.56
Ir (0.3333, 0.6667, 0.0000)  6 Ni 2.55

Calculated values
* E_form: -0.19 eV per atom
* VASP energy: -40.31 eV/f.u.
* size of the total moment: 0.017 μB/f.u.
* calculated volume: 15.74 A^3/atom
* mass density: 12.3 Mg/m³


Density functional theory data (PBE) for crystalline Pr3Si4Ni2Ir2 at its relaxed geometry.

Cell: 4.1163 4.1572 24.1034 Å, 90.00 90.00 90.00°
With the nearest neighbours (Å) after each atom.
Space group Immm (No. 71)
Unique sites:
Pr (0.0000, 0.0000, 0.0000)  4 Ni 3.15, 8 Si 3.17
Pr (0.0000, 0.5000, 0.3557)  6 Si 3.07-3.18, 4 Ni 3.13, 4 Ir 3.26-3.30
Si (0.0000, 0.0000, 0.4493)  2 Ni 2.36, 1 Si 2.44
Si (0.0000, 0.5000, 0.1960)  1 Ni 2.36, 4 Ir 2.44-2.45
Ni (0.0000, 0.5000, 0.0982)  3 Si 2.36
Ir (0.0000, 0.0000, 0.2491)  4 Si 2.44-2.45

Calculated values
* VASP energy: -74.62 eV/f.u.
* size of the total moment: 0.007 μB/f.u.
* calculated volume: 18.75 A^3/atom
* mass density: 8.3 Mg/m³